Y2TaW GGA-PBEsol optimized geometry; V = 84 Å³ per cell; final energy = -0.6915 Ry/atom; Fermi-level density of states = 4.28 states/eV/f.u.; excess energy over the best structure of this formula in the dataset = 22.8 kJ/mol of atoms
1.0
-3.979 -0.796 -0.684
0.279 -3.379 2.309
-1.223 2.652 4.028
Ta W Y
1 1 2
Cartesian
-2.601 0.928 1.672
-0.472 -0.364 3.169
0.000 0.000 0.000
-1.850 -2.088 0.813

***

Ba3TlC GGA-PBEsol optimized geometry; V = 179 Å³ per cell; final energy = -0.2549 Ry/atom; Fermi-level density of states = 8.75 states/eV/f.u.
1.0
5.639 0.000 0.000
0.000 5.639 0.000
0.000 0.000 5.639
C Tl Ba
1 1 3
Cartesian
0.000 0.000 0.000
2.819 2.819 2.819
0.000 2.819 0.000
0.000 0.000 2.819
2.819 0.000 0.000

***

K2AsAuI6 GGA-PBEsol optimized geometry; V = 370 Å³ per cell; final energy = -0.2056 Ry/atom; Fermi-level density of states = 1.17 states/eV/f.u.; E_form (uncorrected) = -0.608 eV per atom
1.0
8.061 0.000 0.000
4.031 6.981 0.000
4.031 2.327 6.582
K As Au I
2 1 1 6
Cartesian
12.092 6.981 4.936
4.031 2.327 1.645
0.000 0.000 0.000
8.061 4.654 3.291
8.061 2.322 1.642
10.081 5.820 1.642
8.061 6.986 4.940
10.081 3.488 4.940
6.041 5.820 1.642
6.041 3.488 4.940

***

RbBaNi2 GGA-PBEsol optimized geometry; V = 106 Å³ per cell; final energy = -0.2251 Ry/atom; Fermi-level density of states = 5.23 states/eV/f.u.
1.0
-4.426 -0.801 -2.813
-2.227 -4.813 -0.128
-4.606 -0.858 2.488
Ni Ba Rb
2 1 1
Cartesian
-2.815 -1.618 -0.113
-8.444 -4.854 -0.340
-5.629 -3.236 -0.226
0.000 0.000 0.000

***

MnRh2Cl GGA-PBEsol optimized geometry; V = 57 Å³ per cell; final energy = -0.4911 Ry/atom; Fermi-level density of states = 4.42 states/eV/f.u.; E_form (uncorrected) = 0.329 eV per atom
1.0
2.839 0.000 0.000
-1.419 2.426 0.000
0.000 0.000 8.281
Cl Mn Rh
1 1 2
Cartesian
1.419 0.000 4.140
1.419 0.000 0.000
0.000 0.000 6.278
0.000 0.000 2.003

***

La2TlCr GGA-PBEsol optimized geometry; V = 107 Å³ per cell; final energy = -0.4232 Ry/atom; Fermi-level density of states = 4.10 states/eV/f.u.
1.0
3.759 0.000 0.000
0.000 5.191 -0.032
-1.880 -2.561 5.504
Cr La Tl
1 2 1
Cartesian
0.000 2.609 2.488
1.880 2.630 5.163
1.880 0.017 2.881
1.880 2.600 0.397

***

Q: Which value of Fermi-level density of states does entry 1 give?
A: 4.28 states/eV/f.u.

***

Q: Which of these has the lowest final energy?
A: Y2TaW

***

Repeat the third record exactly.
K2AsAuI6 GGA-PBEsol optimized geometry; V = 370 Å³ per cell; final energy = -0.2056 Ry/atom; Fermi-level density of states = 1.17 states/eV/f.u.; E_form (uncorrected) = -0.608 eV per atom
1.0
8.061 0.000 0.000
4.031 6.981 0.000
4.031 2.327 6.582
K As Au I
2 1 1 6
Cartesian
12.092 6.981 4.936
4.031 2.327 1.645
0.000 0.000 0.000
8.061 4.654 3.291
8.061 2.322 1.642
10.081 5.820 1.642
8.061 6.986 4.940
10.081 3.488 4.940
6.041 5.820 1.642
6.041 3.488 4.940